[1]
# LiDyGa2Au4

A relaxed structure of LiDyGa2Au4 (PBE, Alexandria).

Values from the calculation:
DFT total energy   -3.759 eV per atom
SG   R-3m, No. 166

a = 8.6489 Å, b = 8.6489 Å, c = 8.6489 Å
α = 30.42°, β = 30.42°, γ = 30.42°
Closest atoms and distances in Å follow each position.
Positions (direct):
Li1 0.0000 0.0000 0.0000  8 Au 2.64-2.75
Dy1 0.5000 0.5000 0.5000  8 Au 3.01-3.29
Ga1 0.2554 0.2554 0.2554  7 Au 2.72-2.84
Ga2 0.7446 0.7446 0.7446  7 Au 2.72-2.84
Au1 0.1067 0.1067 0.1067  1 Li 2.64, 3 Ga 2.72
Au2 0.3671 0.3671 0.3671  3 Li 2.75, 4 Ga 2.76-2.84
Au3 0.6329 0.6329 0.6329  3 Li 2.75, 4 Ga 2.76-2.84
Au4 0.8933 0.8933 0.8933  1 Li 2.64, 3 Ga 2.72


[2]
# Rb2CrCo

A relaxed structure of Rb2CrCo (PBE, Alexandria).

Values from the calculation:
Energy above the most stable polymorph in this dataset   412 meV/atom
SG   Fm-3m, No. 225

a = 6.0636 Å, b = 6.0636 Å, c = 6.0636 Å
α = 60.00°, β = 60.00°, γ = 60.00°
Closest atoms and distances in Å follow each position.
Positions (direct):
Rb1 0.2500 0.2500 0.2500  4 Co 3.71, 4 Cr 3.71
Rb2 0.7500 0.7500 0.7500  4 Co 3.71, 4 Cr 3.71
Cr1 0.0000 0.0000 0.0000  8 Rb 3.71
Co1 0.5000 0.5000 0.5000  8 Rb 3.71


[3]
# AsIrSe2

A relaxed structure of AsIrSe2 (PBE, Alexandria).

Values from the calculation:
DFT total energy   -4.572 eV per atom
SG   I-4m2, No. 119

a = 4.5316 Å, b = 4.5316 Å, c = 4.5316 Å
α = 113.05°, β = 113.05°, γ = 102.52°
Closest atoms and distances in Å follow each position.
Positions (direct):
As1 0.0000 0.0000 0.0000  6 Se 2.84-2.87, 4 Ir 2.87
Ir1 0.7500 0.2500 0.5000  6 Se 2.84-2.87, 4 As 2.87
Se1 0.2500 0.7500 0.5000  2 Ir 2.84, 4 As 2.87, 4 Se 2.87
Se2 0.5000 0.5000 0.0000  2 As 2.84, 4 Se 2.87, 4 Ir 2.87


[4]
# KAlSnCl6

A relaxed structure of KAlSnCl6 (PBE, Alexandria).

Values from the calculation:
DFT total energy   -3.659 eV per atom
SG   P312, No. 149

a = 6.9275 Å, b = 6.9275 Å, c = 6.6976 Å
α = 90.00°, β = 90.00°, γ = 120.00°
Closest atoms and distances in Å follow each position.
Positions (direct):
K1 0.0000 0.0000 0.0000  6 Cl 3.23
Al1 0.6667 0.3333 0.5000  6 Cl 2.36
Sn1 0.3333 0.6667 0.5000  6 Cl 2.86
Cl1 0.3945 0.0543 0.7065  1 Al 2.36
Cl2 0.3945 0.3402 0.2935  1 Al 2.36
Cl3 0.6598 0.0543 0.2935  1 Al 2.36
Cl4 0.6598 0.6055 0.7065  1 Al 2.36
Cl5 0.9457 0.3402 0.7065  1 Al 2.36
Cl6 0.9457 0.6055 0.2935  1 Al 2.36


[5]
# Na3Zn

A relaxed structure of Na3Zn (PBE, Alexandria).

Values from the calculation:
DFT total energy   -1.243 eV per atom
SG   P6_3/mmc, No. 194

a = 6.9019 Å, b = 6.9019 Å, c = 5.5036 Å
α = 90.00°, β = 90.00°, γ = 120.00°
Closest atoms and distances in Å follow each position.
Positions (direct):
Na1 0.1737 0.3474 0.2500  8 Na 3.31-3.60, 4 Zn 3.35-3.45
Na2 0.1737 0.8263 0.2500  8 Na 3.31-3.60, 4 Zn 3.35-3.45
Na3 0.3474 0.1737 0.7500  8 Na 3.31-3.60, 4 Zn 3.35-3.45
Na4 0.6526 0.8263 0.2500  8 Na 3.31-3.60, 4 Zn 3.35-3.45
Na5 0.8263 0.1737 0.7500  8 Na 3.31-3.60, 4 Zn 3.35-3.45
Na6 0.8263 0.6526 0.7500  8 Na 3.31-3.60, 4 Zn 3.35-3.45
Zn1 0.3333 0.6667 0.7500  12 Na 3.35-3.45
Zn2 0.6667 0.3333 0.2500  12 Na 3.35-3.45


[6]
# CaYMgAg

A relaxed structure of CaYMgAg (PBE, Alexandria).

Values from the calculation:
Energy above the most stable polymorph in this dataset   53 meV/atom
SG   F-43m, No. 216

a = 5.3115 Å, b = 5.3115 Å, c = 5.3115 Å
α = 60.00°, β = 60.00°, γ = 60.00°
Closest atoms and distances in Å follow each position.
Positions (direct):
Ca1 0.0000 0.0000 0.0000  4 Mg 3.25, 4 Ag 3.25
Y1 0.5000 0.5000 0.5000  4 Ag 3.25, 4 Mg 3.25
Mg1 0.2500 0.2500 0.2500  4 Y 3.25, 4 Ca 3.25
Ag1 0.7500 0.7500 0.7500  4 Ca 3.25, 4 Y 3.25


[7]
# La8OsRuRh2

A relaxed structure of La8OsRuRh2 (PBE, Alexandria).

Values from the calculation:
DFT total energy   -6.615 eV per atom
SG   P2/m, No. 10

a = 6.7205 Å, b = 8.5852 Å, c = 6.8245 Å
α = 90.00°, β = 90.65°, γ = 90.00°
Closest atoms and distances in Å follow each position.
Positions (direct):
La1 0.2215 0.2500 0.3310  1 Ru 2.86, 1 Os 2.86, 1 Rh 2.95
La2 0.2215 0.7500 0.3310  1 Ru 2.86, 1 Os 2.86, 1 Rh 2.95
La3 0.2687 0.0000 0.8272  1 Ru 2.86, 2 Rh 2.89
La4 0.2701 0.5000 0.8277  1 Os 2.86, 2 Rh 2.89
La5 0.7299 0.5000 0.1723  1 Os 2.86, 2 Rh 2.89
La6 0.7313 0.0000 0.1728  1 Ru 2.86, 2 Rh 2.89
La7 0.7785 0.2500 0.6690  1 Ru 2.86, 1 Os 2.86, 1 Rh 2.95
La8 0.7785 0.7500 0.6690  1 Ru 2.86, 1 Os 2.86, 1 Rh 2.95
Os1 0.0000 0.5000 0.5000  6 La 2.86
Ru1 0.0000 0.0000 0.5000  6 La 2.86
Rh1 0.5000 0.2489 0.0000  6 La 2.89-2.95
Rh2 0.5000 0.7511 0.0000  6 La 2.89-2.95


[8]
# Rb3DyI6

A relaxed structure of Rb3DyI6 (PBE, Alexandria).

Values from the calculation:
DFT total energy   -3.152 eV per atom
SG   P2_1/c, No. 14

a = 8.7017 Å, b = 9.3108 Å, c = 15.0434 Å
α = 90.00°, β = 124.14°, γ = 90.00°
Closest atoms and distances in Å follow each position.
Positions (direct):
Rb1 0.0000 0.0000 0.0000  6 I 3.64-3.73
Rb2 0.0000 0.5000 0.5000  6 I 3.64-3.73
Rb3 0.2099 0.0850 0.7448  6 I 3.72-3.94
Rb4 0.2099 0.4150 0.2448  6 I 3.72-3.94
Rb5 0.7901 0.5850 0.7552  6 I 3.72-3.94
Rb6 0.7901 0.9150 0.2552  6 I 3.72-3.94
Dy1 0.5000 0.0000 0.5000  6 I 3.04-3.06
Dy2 0.5000 0.5000 0.0000  6 I 3.04-3.06
I1 0.1597 0.1743 0.4424  1 Dy 3.05
I2 0.1597 0.3257 0.9424  1 Dy 3.05
I3 0.2668 0.7251 0.4266  1 Dy 3.06
I4 0.2668 0.7749 0.9266  1 Dy 3.06
I5 0.4072 0.0489 0.2748  1 Dy 3.04
I6 0.4072 0.4511 0.7748  1 Dy 3.04
I7 0.5928 0.5489 0.2252  1 Dy 3.04
I8 0.5928 0.9511 0.7252  1 Dy 3.04
I9 0.7332 0.2251 0.0734  1 Dy 3.06
I10 0.7332 0.2749 0.5734  1 Dy 3.06
I11 0.8403 0.6743 0.0576  1 Dy 3.05
I12 0.8403 0.8257 0.5576  1 Dy 3.05